(1)
# IrC

IrC after structural relaxation (PBE-GGA, Alexandria via LeMat-Bulk).

Cell: 3.3408 3.3408 2.8241 Å, 90.00 90.00 120.00°
Fractional coordinates of all 2 atoms:
C 0.0000 0.0000 0.5000
Ir 0.6667 0.3333 0.5000

## Properties
As for the symmetry: P-6m2 (187). The calculation puts the energy above the lowest structure with this stoichiometry at 397 meV/atom. For the formation energy, the calculation gives 0.855 eV/atom.

---

(2)
# Ba2Mg3TlIn4

Ba2Mg3TlIn4 after structural relaxation (PBE-GGA, Alexandria via LeMat-Bulk).

Cell: 4.9285 4.9285 12.5234 Å, 90.00 90.00 90.00°
Fractional coordinates of all 10 atoms:
Mg 0.0000 0.5000 0.1324
In 0.0000 0.5000 0.3600
Mg 0.5000 0.0000 0.8676
In 0.0000 0.0000 0.0000
In 0.5000 0.5000 0.0000
Tl 0.5000 0.5000 0.5000
Ba 0.0000 0.5000 0.7484
In 0.5000 0.0000 0.6400
Ba 0.5000 0.0000 0.2516
Mg 0.0000 0.0000 0.5000

## Properties
As for the symmetry: P-4m2 (115). For the formation energy, the calculation gives -0.284 eV/atom.

---

(3)
# Ho2TmPb

Ho2TmPb after structural relaxation (PBE-GGA, Alexandria via LeMat-Bulk).

Cell: 4.8345 4.8163 4.8163 Å, 90.00 90.00 90.00°
Fractional coordinates of all 4 atoms:
Tm 0.5000 0.5000 0.5000
Ho 0.0000 0.0000 0.5000
Ho 0.0000 0.5000 0.0000
Pb 0.5000 0.0000 0.0000

## Properties
As for the symmetry: P4/mmm (123). The calculation puts the energy above the lowest structure with this stoichiometry at 0 meV/atom. For the formation energy, the calculation gives -0.257 eV/atom.

---

(4)
# KMg2Tl2

KMg2Tl2 after structural relaxation (PBE-GGA, Alexandria via LeMat-Bulk).

Cell: 9.3270 9.3270 3.2751 Å, 90.00 90.00 90.00°
Fractional coordinates of all 10 atoms:
K 0.5000 0.5000 0.0000
Mg 0.1257 0.3743 0.0000
Tl 0.6646 0.8354 0.5000
Tl 0.3354 0.1646 0.5000
Tl 0.1646 0.6646 0.5000
Mg 0.8743 0.6257 0.0000
Tl 0.8354 0.3354 0.5000
Mg 0.3743 0.8743 0.0000
K 0.0000 0.0000 0.0000
Mg 0.6257 0.1257 0.0000

## Properties
As for the symmetry: P4/mbm (127). The calculation puts the energy above the lowest structure with this stoichiometry at 0 meV/atom. For the formation energy, the calculation gives -0.052 eV/atom.

---

(5)
# Rb2SiAsF6

Rb2SiAsF6 after structural relaxation (PBE-GGA, Alexandria via LeMat-Bulk).

Cell: 7.0232 7.0232 6.3800 Å, 56.60 56.60 90.00°
Fractional coordinates of all 10 atoms:
Si 0.5000 0.5000 0.0000
Rb 0.2500 0.7500 0.5000
F 0.6712 0.3288 0.0000
F 0.3288 0.6712 0.0000
F 0.2804 0.2804 0.4392
F 0.7196 0.7196 0.5608
F 0.6712 0.6712 0.0000
Rb 0.7500 0.2500 0.5000
F 0.3288 0.3288 0.0000
As 0.0000 0.0000 0.0000

## Properties
For the raw formation energy, the calculation gives -2.41 eV/atom. As for the symmetry: I4/mmm (139).

---

(6)
# YHo2Er5Tm

YHo2Er5Tm after structural relaxation (PBE-GGA, Alexandria via LeMat-Bulk).

Cell: 5.5438 10.2171 10.4738 Å, 90.00 90.00 105.74°
Fractional coordinates of all 18 atoms:
Er 0.2806 0.5612 0.3091
Er 0.3882 0.7763 0.0224
Er 0.9819 0.9638 0.5232
Er 0.4792 0.9585 0.7384
Tm 0.1996 0.3992 0.0116
Y 0.4127 0.8254 0.4561
Er 0.6118 0.2237 0.5224
Er 0.6998 0.3996 0.2098
Er 0.0181 0.0362 0.0232
Tm 0.8004 0.6008 0.5116
Ho 0.1104 0.2209 0.7367
Er 0.5208 0.0415 0.2384
Er 0.7194 0.4388 0.8091
Ho 0.8874 0.7749 0.8165
Er 0.3002 0.6004 0.7098
Y 0.5873 0.1746 0.9561
Ho 0.8896 0.7791 0.2367
Ho 0.1126 0.2251 0.3165

## Properties
As for the symmetry: Cmc2_1 (36). For the formation energy, the calculation gives 0.164 eV/atom.

---

(7)
# VCdRe3

VCdRe3 after structural relaxation (PBE-GGA, Alexandria via LeMat-Bulk).

Cell: 4.5406 4.5406 4.5406 Å, 90.00 90.00 90.00°
Fractional coordinates of all 5 atoms:
Re 0.0000 0.5000 0.0000
Cd 0.5000 0.5000 0.5000
Re 0.0000 0.0000 0.5000
Re 0.5000 0.0000 0.0000
V 0.0000 0.0000 0.0000

## Properties
As for the symmetry: Pm-3m (221). The calculation puts the energy above the lowest structure with this stoichiometry at 0 meV/atom. For the formation energy, the calculation gives 1.620 eV/atom.

---

(8)
# LaGeOs

LaGeOs after structural relaxation (PBE-GGA, Alexandria via LeMat-Bulk).

Cell: 5.6884 5.6884 13.4114 Å, 77.76 77.76 60.00°
Fractional coordinates of all 18 atoms:
Os 0.5000 0.5000 0.0000
Ge 0.2352 0.7155 0.3338
La 0.9586 0.9586 0.1242
La 0.1782 0.1782 0.4654
Ge 0.7155 0.2352 0.3338
Ge 0.7155 0.7155 0.3338
Os 0.6108 0.6108 0.1677
La 0.7316 0.7316 0.8052
Os 0.3892 0.3892 0.8323
Os 0.5000 0.0000 0.0000
La 0.2684 0.2684 0.1948
Ge 0.2845 0.2845 0.6662
Os 0.0000 0.5000 0.0000
La 0.0414 0.0414 0.8758
Ge 0.2845 0.7648 0.6662
Ge 0.7648 0.2845 0.6662
La 0.8218 0.8218 0.5346
Os 0.5000 0.5000 0.5000

## Properties
As for the symmetry: R-3m (166). For the formation energy, the calculation gives -0.358 eV/atom.

---

What E_tot values result from the calculations? In sequence: -8.19 -2.48 -4.59 -1.86 -4.73 -4.60 -7.86 -7.28 eV per atom.